## Al2PI (GGA-PBE)

Data for a relaxed structure of Al2PI.

Properties
Its uncorrected formation energy is 451 meV per atom. The magnetization comes out at 0.000 μB per atom. The energy above the most stable polymorph in this dataset is 151 kJ/mol of formula units. As for the density of states at the Fermi level: 5.57 states/eV/cell.

Lattice parameters (Å, degrees): 6.9370 6.9370 6.9370 90.00 90.00 90.00
Last column: nearest neighbours and their distance in Å.
Fractional coordinates of all 16 atoms:
Al  0.2500  0.2500  0.2500  4 I 3.00, 4 P 3.00
Al  0.2500  0.2500  0.7500  4 I 3.00, 4 P 3.00
Al  0.2500  0.7500  0.2500  4 I 3.00, 4 P 3.00
Al  0.2500  0.7500  0.7500  4 I 3.00, 4 P 3.00
Al  0.7500  0.2500  0.2500  4 I 3.00, 4 P 3.00
Al  0.7500  0.2500  0.7500  4 I 3.00, 4 P 3.00
Al  0.7500  0.7500  0.2500  4 I 3.00, 4 P 3.00
Al  0.7500  0.7500  0.7500  4 P 3.00, 4 I 3.00
P  0.0000  0.0000  0.0000  8 Al 3.00
P  0.0000  0.5000  0.5000  8 Al 3.00
P  0.5000  0.0000  0.5000  8 Al 3.00
P  0.5000  0.5000  0.0000  8 Al 3.00
I  0.0000  0.0000  0.5000  8 Al 3.00
I  0.0000  0.5000  0.0000  8 Al 3.00
I  0.5000  0.0000  0.0000  8 Al 3.00
I  0.5000  0.5000  0.5000  8 Al 3.00